Crystalline Zr2CuH2 at its relaxed geometry, computed with PBE.

a b c (Å): 3.336 3.336 6.070
angles (deg): 74.05 74.05 90.00
Element x y z (fractional)
H 0.250 0.750 0.500
H 0.750 0.250 0.500
Cu 0.000 0.000 0.000
Zr 0.640 0.640 0.720
Zr 0.360 0.360 0.280

Output
Total DFT energy (no corrections)   -5.939 eV per atom
ρ   6.62 g cm⁻³
Space-group type   No. 139